VASP calculation (PBEsol) on Tl6WO12 after structural relaxation.

Lattice parameters (Å, degrees): 6.4510 6.4510 6.4510 98.49 98.49 98.49
Closest atoms and distances in Å follow each position.
Sites, in units of the cell vectors:
O 0.4182 0.1749 0.5996  3 Tl 2.13-2.38
O 0.7100 0.0360 0.9106  1 W 1.93
O 0.1749 0.5996 0.4182  3 Tl 2.13-2.38
O 0.5818 0.8251 0.4004  3 Tl 2.13-2.38
O 0.9106 0.7100 0.0360  1 W 1.93
O 0.4004 0.5818 0.8251  3 Tl 2.13-2.38
O 0.0894 0.2900 0.9640  1 W 1.93
O 0.5996 0.4182 0.1749  3 Tl 2.13-2.38
O 0.2900 0.9640 0.0894  1 W 1.93
O 0.0360 0.9106 0.7100  1 W 1.93
O 0.9640 0.0894 0.2900  1 W 1.93
O 0.8251 0.4004 0.5818  3 Tl 2.13-2.38
Tl 0.6049 0.1350 0.3078  4 O 2.13-2.38
Tl 0.8650 0.6922 0.3951  4 O 2.13-2.38
Tl 0.6922 0.3951 0.8650  4 O 2.13-2.38
Tl 0.3951 0.8650 0.6922  4 O 2.13-2.38
Tl 0.1350 0.3078 0.6049  4 O 2.13-2.38
Tl 0.3078 0.6049 0.1350  4 O 2.13-2.38
W 0.0000 0.0000 0.0000  6 O 1.93

Values from the calculation:
Formation energy (no corrections) (eV per atom): -0.99
SG: R-3, No. 148

=====

VASP calculation (PBEsol) on YTlW2O8 after structural relaxation.

Lattice parameters (Å, degrees): 7.4506 7.4772 7.4772 91.16 117.71 62.29
Closest atoms and distances in Å follow each position.
Sites, in units of the cell vectors:
W 0.7700 0.6947 0.3000  4 O 1.80-1.97
W 0.2300 0.3053 0.7000  4 O 1.80-1.97
W 0.7300 0.3000 0.6947  4 O 1.80-1.97
W 0.2700 0.7000 0.3053  4 O 1.80-1.97
O 0.9461 0.3795 0.7615  1 W 1.82
O 0.1241 0.9351 0.3816  1 W 1.83
O 0.6882 0.9574 0.2109  1 W 1.80
O 0.5300 0.4141 0.3691  2 W 1.97-2.10
O 0.5539 0.7615 0.3795  1 W 1.82
O 0.3759 0.3816 0.9351  1 W 1.83
O 0.8118 0.2109 0.9574  1 W 1.80
O 0.9700 0.3691 0.4141  2 W 1.97-2.10
O 0.4700 0.5859 0.6309  2 W 1.97-2.10
O 0.6241 0.6184 0.0649  1 W 1.83
O 0.4461 0.2385 0.6205  1 W 1.82
O 0.0300 0.6309 0.5859  2 W 1.97-2.10
O 0.0539 0.6205 0.2385  1 W 1.82
O 0.1882 0.7891 0.0426  1 W 1.80
O 0.8759 0.0649 0.6184  1 W 1.83
O 0.3118 0.0426 0.7891  1 W 1.80
Tl 0.2500 0.2090 0.2090  8 O 2.78-2.95
Tl 0.7500 0.7910 0.7910  8 O 2.78-2.95
Y 0.2500 0.7722 0.7722  6 O 2.26-2.31
Y 0.7500 0.2278 0.2278  6 O 2.26-2.31

Values from the calculation:
Formation energy (no corrections) (eV per atom): -2.38
SG: C2/c, No. 15

=====

VASP calculation (PBEsol) on YTlO3 after structural relaxation.

Lattice parameters (Å, degrees): 4.3801 4.3801 4.3801 90.00 90.00 90.00
Closest atoms and distances in Å follow each position.
Sites, in units of the cell vectors:
O 0.5000 0.5000 0.0000  2 Y 2.19
O 0.5000 0.0000 0.5000  2 Y 2.19
O 0.0000 0.5000 0.5000  2 Y 2.19
Y 0.5000 0.5000 0.5000  6 O 2.19
Tl 0.0000 0.0000 0.0000  12 O 3.10

Values from the calculation:
Formation energy (no corrections) (eV per atom): -1.49
SG: Pm-3m, No. 221

=====

VASP calculation (PBEsol) on YTlO2 after structural relaxation.

Lattice parameters (Å, degrees): 3.4531 3.4531 6.6749 75.01 75.01 60.00
Closest atoms and distances in Å follow each position.
Sites, in units of the cell vectors:
Tl 0.0000 0.0000 0.0000  6 O 2.88
O 0.2245 0.2245 0.3265  3 Y 2.28
O 0.7755 0.7755 0.6735  3 Y 2.28
Y 0.5000 0.5000 0.5000  6 O 2.28

Values from the calculation:
Energy above the lowest structure with this stoichiometry (meV per atom): 0
Formation energy (no corrections) (eV per atom): -2.39
SG: R-3m, No. 166

=====

VASP calculation (PBEsol) on YTlO3 after structural relaxation.

Lattice parameters (Å, degrees): 4.2183 4.2183 4.2183 90.00 90.00 90.00
Closest atoms and distances in Å follow each position.
Sites, in units of the cell vectors:
Y 0.0000 0.0000 0.0000  12 O 2.98
O 0.5000 0.0000 0.5000  2 Tl 2.11
O 0.0000 0.5000 0.5000  2 Tl 2.11
O 0.5000 0.5000 0.0000  2 Tl 2.11
Tl 0.5000 0.5000 0.5000  6 O 2.11

Values from the calculation:
Formation energy (no corrections) (eV per atom): -1.23
SG: Pm-3m, No. 221

=====

VASP calculation (PBEsol) on TmVO3 after structural relaxation.

Lattice parameters (Å, degrees): 5.1376 5.5546 7.4640 90.00 90.00 90.00
Closest atoms and distances in Å follow each position.
Sites, in units of the cell vectors:
O 0.3123 0.6946 0.0594  2 V 1.98-2.00
O 0.3123 0.6946 0.4406  2 V 1.98-2.00
O 0.8123 0.8054 0.5594  2 V 1.98-2.00
O 0.1877 0.1946 0.4406  2 V 1.98-2.00
O 0.8799 0.5451 0.2500  2 V 1.98, 1 Tm 2.17
O 0.6877 0.3054 0.9406  2 V 1.98-2.00
O 0.3799 0.9549 0.7500  2 V 1.98, 1 Tm 2.17
O 0.6201 0.0451 0.2500  2 V 1.98, 1 Tm 2.17
O 0.1201 0.4549 0.7500  2 V 1.98, 1 Tm 2.17
O 0.6877 0.3054 0.5594  2 V 1.98-2.00
O 0.1877 0.1946 0.0594  2 V 1.98-2.00
O 0.8123 0.8054 0.9406  2 V 1.98-2.00
Tm 0.4773 0.4254 0.2500  6 O 2.17-2.43
Tm 0.0227 0.9254 0.2500  6 O 2.17-2.43
Tm 0.9773 0.0746 0.7500  6 O 2.17-2.43
Tm 0.5227 0.5746 0.7500  6 O 2.17-2.43
V 0.0000 0.5000 0.5000  6 O 1.98-2.00
V 0.5000 0.0000 0.0000  6 O 1.98-2.00
V 0.0000 0.5000 0.0000  6 O 1.98-2.00
V 0.5000 0.0000 0.5000  6 O 1.98-2.00

Values from the calculation:
Formation energy (no corrections) (eV per atom): -3.02
SG: Pnma, No. 62